Density functional theory data (PBE) for an optimized crystal structure of Mg2PtPb.

## Properties
Calculated formation energy in meV per atom: -317
DOS at the Fermi energy in states/eV per cell: 1.3
SG: Pm, No. 6
E in eV for the cell shown: -14.207
V in Å³ per cell: 82.5
Crystal system: monoclinic

The structure in POSCAR format:
```
Mg2PtPb
1.0
3.1616 0.0000 0.0000
0.0000 4.6119 0.0000
-0.0055 0.0000 5.6565
Mg Pt Pb
2 1 1
Cartesian
0.0000 0.0000 0.0000
0.0024 2.3060 1.8090
1.5734 2.3060 5.2270
1.5764 0.0000 3.0808
```


Density functional theory data (PBE) for an optimized crystal structure of MgPtPb2.

## Properties
Calculated formation energy in meV per atom: -244
DOS at the Fermi energy in states/eV per cell: 3.7
SG: Immm, No. 71
E in eV for the cell shown: -32.058
V in Å³ per cell: 202.3
Crystal system: orthorhombic

The structure in POSCAR format:
```
MgPtPb2
1.0
3.3813 0.0000 0.0000
0.0000 4.3947 0.0000
0.0000 0.0000 13.6119
Mg Pt Pb
2 2 4
Cartesian
0.0000 0.0000 0.0000
1.6906 2.1973 6.8059
0.0000 0.0000 6.8059
1.6906 2.1973 0.0000
0.0000 2.1973 2.3864
0.0000 2.1973 11.2254
1.6906 0.0000 4.4195
1.6906 0.0000 9.1924
```